# 1
Density functional theory data (PBE) for PrDyHo4Tm2 after structural relaxation.

Unit cell a=9.4618 b=9.4618 c=11.7243 alpha=128.28 beta=128.28 gamma=88.69
Each line ends with the local moment (μB).
Element x y z (fractional)
Ho 0.2530 0.2471 0.9985  0.27
Ho 0.2541 0.7505 0.0025  0.27
Ho 0.7470 0.7529 0.0015  0.27
Ho 0.7495 0.2459 0.4975  0.27
Ho 0.7459 0.2495 0.9975  0.27
Ho 0.7471 0.7530 0.4985  0.27
Ho 0.2529 0.2470 0.5015  0.27
Ho 0.2505 0.7541 0.5025  0.27
Pr 0.0000 0.5000 0.0000  0.26
Pr 0.0000 0.5000 0.5000  0.26
Tm 0.5000 0.0000 0.5000  0.21
Tm 0.0000 0.0000 0.5000  0.26
Tm 0.5000 0.0000 0.0000  0.21
Tm 0.5000 0.5000 0.0000  0.26
Dy 0.0000 0.0000 0.0000  0.30
Dy 0.5000 0.5000 0.5000  0.30

## Properties
DFT formation energy = 3.52 eV/f.u.
DOS(E_F) = 34.39 states/eV/cell
Space-group type = No. 74

***

# 2
Density functional theory data (PBE) for GdPa3 after structural relaxation.

Unit cell a=4.6815 b=4.6815 c=5.7715 alpha=113.93 beta=113.93 gamma=90.00
Each line ends with the local moment (μB).
Element x y z (fractional)
Gd 0.0000 0.0000 0.0000  7.03
Pa 0.7500 0.2500 0.5000  -0.05
Pa 0.2500 0.7500 0.5000  -0.05
Pa 0.5000 0.5000 0.0000  -0.04

## Properties
DFT formation energy = 0.63 eV/f.u.
DOS(E_F) = 7.05 states/eV/cell
Space-group type = No. 139

***

# 3
Density functional theory data (PBE) for Pm5Tl4Si after structural relaxation.

Unit cell a=3.8535 b=3.8535 c=18.8451 alpha=90.00 beta=90.00 gamma=90.00
Element x y z (fractional)
Pm 0.5000 0.5000 0.7087
Pm 0.5000 0.5000 0.2913
Pm 0.5000 0.5000 0.9186
Pm 0.5000 0.5000 0.0814
Pm 0.5000 0.5000 0.5000
Tl 0.0000 0.0000 0.3957
Tl 0.0000 0.0000 0.1887
Tl 0.0000 0.0000 0.6043
Tl 0.0000 0.0000 0.8113
Si 0.0000 0.0000 0.0000

## Properties
DOS(E_F) = 7.05 states/eV/cell
Energy relative to the elements, uncorrected = -4.02 eV/f.u.
Space-group type = No. 123

***

# 4
Density functional theory data (PBE) for Sc2ReRu after structural relaxation.

Unit cell a=2.9647 b=2.9647 c=8.4796 alpha=90.00 beta=90.00 gamma=90.00
Element x y z (fractional)
Sc 0.5000 0.5000 0.2983
Sc 0.0000 0.0000 0.9480
Re 0.0000 0.0000 0.5338
Ru 0.5000 0.5000 0.7199

## Properties
DFT formation energy = -0.57 eV/f.u.
DOS(E_F) = 2.80 states/eV/cell
Space-group type = No. 99